[1]
Compound: Na3CeDy3S8
Source: Alexandria
Functional: PBE
Structure: optimized geometry

It has space group R-3m (No. 166, hexagonal axes), with a = 8.0104 Å, b = 8.0104 Å, c = 20.0653 Å, α = 90.00°, β = 90.00° and γ = 120.00°. The asymmetric unit holds Na at (0.0000, 0.5000, 0.0000), Ce at (0.0000, 0.0000, 0.5000), Dy at (0.0000, 0.5000, 0.5000), S at (0.0000, 0.0000, 0.2421) and S at (0.0019, 0.5010, 0.2403).

The calculation puts the formation energy without anion corrections at -1.815 eV per atom. As for the calculated total energy: -5.60 eV/atom.

---

[2]
Compound: Si2PIr2
Source: Alexandria
Functional: PBE
Structure: optimized geometry

It has space group P4/nmm (No. 129, origin choice 2), with a = 3.835 Å, b = 3.835 Å, c = 10.766 Å, α = 90.00°, β = 90.00° and γ = 90.00°. The asymmetric unit holds Si at (0.250, 0.250, 0.131), Si at (0.250, 0.750, 0.500), P at (0.250, 0.250, 0.724), Ir at (0.250, 0.250, 0.360) and Ir at (0.250, 0.750, 0.000).

The density of states at the Fermi level is 2.870 states/eV/f.u. The calculation puts the formation energy without anion corrections at -0.103 eV per atom. As for the calculated total energy: -6.90 eV/atom.

---

[3]
Compound: Mn2Be4Ru
Source: Alexandria
Functional: PBE
Structure: optimized geometry

It has space group I4/mmm (No. 139), with a = 4.008 Å, b = 4.008 Å, c = 11.680 Å, α = 90.00°, β = 90.00° and γ = 90.00°. The asymmetric unit holds Mn at (0.000, 0.000, 0.114), Be at (0.000, 0.000, 0.314), Be at (0.000, 0.500, 0.000) and Ru at (0.000, 0.000, 0.500).

The density of states at the Fermi level is 2.525 states/eV/f.u. As for the energy relative to the elements: 0.601 eV/atom. As for the calculated total energy: -5.47 eV/atom.

---

[4]
Compound: VSb2Au
Source: Alexandria
Functional: PBE
Structure: optimized geometry

It has space group I-42d (No. 122), with a = 4.699 Å, b = 4.699 Å, c = 17.472 Å, α = 90.00°, β = 90.00° and γ = 90.00°. The asymmetric unit holds V at (0.000, 0.000, 0.000), Sb at (0.235, 0.250, 0.125) and Au at (0.000, 0.000, 0.500).

The density of states at the Fermi level is 2.520 states/eV/f.u. The calculation puts the formation energy without anion corrections at 0.250 eV per atom. As for the calculated total energy: -4.91 eV/atom.

---

[5]
Compound: Hf4ZnHg
Source: Alexandria
Functional: PBE
Structure: optimized geometry

It has space group P4/mmm (No. 123), with a = 4.576 Å, b = 4.576 Å, c = 6.637 Å, α = 90.00°, β = 90.00° and γ = 90.00°. The asymmetric unit holds Hf at (0.000, 0.500, 0.234), Zn at (0.000, 0.000, 0.000) and Hg at (0.500, 0.500, 0.500).

The density of states at the Fermi level is 8.635 states/eV/f.u. As for the energy relative to the elements: 0.370 eV/atom. As for the calculated total energy: -6.53 eV/atom.

---

[6]
Compound: La2ZrMo
Source: Alexandria
Functional: PBE
Structure: optimized geometry

It has space group Cmmm (No. 65), with a = 3.461 Å, b = 5.606 Å, c = 10.347 Å, α = 90.00°, β = 90.00° and γ = 90.00°. The asymmetric unit holds La at (0.000, 0.000, 0.220), Zr at (0.000, 0.500, 0.500) and Mo at (0.000, 0.500, 0.000).

The density of states at the Fermi level is 6.686 states/eV/f.u. As for the energy relative to the elements: 0.491 eV/atom. As for the calculated total energy: -6.82 eV/atom.

---

[7]
Compound: Pr7Nd12Y
Source: Alexandria
Functional: PBE
Structure: optimized geometry

It has space group R-3 (No. 148, hexagonal axes), with a = 12.4330 Å, b = 12.4330 Å, c = 16.1931 Å, α = 90.00°, β = 90.00° and γ = 120.00°. The asymmetric unit holds Pr at (0.0000, 0.0000, 0.0000), Pr at (0.0565, 0.1872, 0.2938), Nd at (0.0234, 0.4461, 0.2217), Nd at (0.0552, 0.5894, 0.5814) and Y at (0.0000, 0.0000, 0.5000).

The density of states at the Fermi level is 40.352 states/eV/f.u. As for the energy relative to the elements: 0.210 eV/atom. As for the calculated total energy: -4.65 eV/atom.

---

[8]
Compound: RbHgTeI2
Source: Alexandria
Functional: PBE
Structure: optimized geometry

It has space group P4/mmm (No. 123), with a = 6.223 Å, b = 6.223 Å, c = 5.671 Å, α = 90.00°, β = 90.00° and γ = 90.00°. The asymmetric unit holds Rb at (0.000, 0.000, 0.000), Hg at (0.500, 0.500, 0.500), Te at (0.500, 0.500, 0.000) and I at (0.000, 0.500, 0.500).

The density of states at the Fermi level is 5.519 states/eV/f.u. The calculation puts the formation energy without anion corrections at -0.421 eV per atom. As for the calculated total energy: -1.92 eV/atom.

---

[9]
Compound: TaMnSe4
Source: Alexandria
Functional: PBE
Structure: optimized geometry

It has space group C2/m (No. 12), with a = 14.753 Å, b = 3.544 Å, c = 6.094 Å, α = 90.00°, β = 114.38° and γ = 90.00°. The asymmetric unit holds Ta at (0.000, 0.000, 0.000), Mn at (0.000, 0.500, 0.500), Se at (0.113, 0.000, 0.774) and Se at (0.117, 0.500, 0.294).

The density of states at the Fermi level is 2.785 states/eV/f.u. The calculation puts the formation energy without anion corrections at -0.611 eV per atom. As for the calculated total energy: -6.44 eV/atom.